[1]
A relaxed structure of Ru3IBr, computed with PBE.

formation energy without anion corrections	1.66	eV per atom
spin magnetization	3.61	μB/f.u.
E above lowest polymorph	0	meV/atom
volume	104.51	Å³ per cell

Cell and atoms, written as CIF:
```
data_Ru3IBr
_chemical_formula_sum 'Ru3 I1 Br1'
_symmetry_space_group_name_H-M 'P m -3 m'
_symmetry_Int_Tables_number 221
_symmetry_space_group_name_Hall '-P 4 2 3'
_cell_length_a 4.710
_cell_length_b 4.710
_cell_length_c 4.710
_cell_angle_alpha 90.00
_cell_angle_beta 90.00
_cell_angle_gamma 90.00
loop_
_atom_site_label
_atom_site_type_symbol
_atom_site_fract_x
_atom_site_fract_y
_atom_site_fract_z
_atom_site_occupancy
Ru1 Ru 0.000 0.000 0.500 1
I1 I 0.500 0.500 0.500 1
Br1 Br 0.000 0.000 0.000 1
```



[2]
A relaxed structure of RuI3Br, computed with PBE.

formation energy without anion corrections	-0.04	eV per atom
spin magnetization	0.00	μB/f.u.
E above lowest polymorph	10	meV/atom
volume	791.13	Å³ per cell

Cell and atoms, written as CIF:
```
data_RuI3Br
_chemical_formula_sum 'Ru4 I12 Br4'
_symmetry_space_group_name_H-M 'P 1 2/c 1'
_symmetry_Int_Tables_number 13
_cell_length_a 6.973
_cell_length_b 8.751
_cell_length_c 12.966
_cell_angle_alpha 90.00
_cell_angle_beta 90.17
_cell_angle_gamma 90.00
loop_
_symmetry_equiv_pos_as_xyz
'x,y,z'
'-x,-y,-z'
'-x,y,-z+1/2'
'x,-y,z+1/2'
loop_
_atom_site_label
_atom_site_type_symbol
_atom_site_fract_x
_atom_site_fract_y
_atom_site_fract_z
_atom_site_occupancy
Ru1 Ru 0.086 0.161 0.101 1
I1 I 0.114 0.140 0.575 1
I2 I 0.247 0.124 0.287 1
I3 I 0.410 0.232 0.011 1
Br1 Br 0.014 0.438 0.123 1
```